1.
HgB2Ru2, relaxed, DFT PBE; E_form = 481 meV per atom; V = 132.6 Å³ per cell; Fermi-level density of states = 4.34 states/eV per cell; magnetization = 0.00 μB/cell
1.0
6.780 0.000 0.000
0.000 6.780 0.000
0.000 0.000 2.885
Hg B Ru
2 4 4
Direct
0.000 0.000 0.000
0.500 0.500 0.000
0.103 0.397 0.500
0.397 0.897 0.500
0.603 0.103 0.500
0.897 0.603 0.500
0.140 0.640 0.000
0.360 0.140 0.000
0.640 0.860 0.000
0.860 0.360 0.000

---

2.
Cu2AgSe, relaxed, DFT PBE; V = 62.6 Å³ per cell; Fermi-level density of states = 1.98 states/eV per cell; energy relative to the elements, uncorrected = 0.18 eV per atom; magnetization = 0.00 μB/cell
1.0
-1.929 1.929 4.205
1.929 -1.929 4.205
1.929 1.929 -4.205
Cu Ag Se
2 1 1
Direct
0.000 0.000 0.000
0.750 0.250 0.500
0.500 0.500 0.000
0.250 0.750 0.500

---

3.
BaPmRhO4, relaxed, DFT PBE; V = 229.8 Å³ per cell; energy relative to the elements, uncorrected = -2.10 eV per atom; magnetization = 0.00 μB/cell
1.0
-3.572 3.746 4.294
3.572 -3.746 4.294
3.572 3.746 -4.294
Ba Pm Rh O
2 2 2 8
Direct
0.364 0.114 0.250
0.636 0.886 0.750
0.000 0.500 0.500
0.500 0.500 0.000
0.000 0.000 0.500
0.000 0.500 0.000
0.148 0.228 0.921
0.193 0.772 0.421
0.243 0.298 0.555
0.243 0.689 0.945
0.757 0.311 0.055
0.757 0.702 0.445
0.807 0.228 0.579
0.852 0.772 0.079

---

4.
TbCeFeNi, relaxed, DFT PBE; E_form = -60 meV per atom; V = 77.2 Å³ per cell; Fermi-level density of states = 4.76 states/eV per cell; magnetization = 0.41 μB/cell
1.0
0.000 3.379 3.379
3.379 0.000 3.379
3.379 3.379 0.000
Tb Ce Fe Ni
1 1 1 1
Direct
0.000 0.000 0.000
0.500 0.500 0.500
0.750 0.750 0.750
0.250 0.250 0.250